The following is a DFT calculation (PBE+U) of a geometry-optimized FeWF6 structure.

Structure (CIF):
```
data_FeWF6
_symmetry_space_group_name_H-M 'P -3 1 c'
_symmetry_Int_Tables_number 163
_symmetry_space_group_name_Hall '-P 3 2c'
_cell_length_a 5.2999
_cell_length_b 5.2999
_cell_length_c 9.5650
_cell_angle_alpha 90.00
_cell_angle_beta 90.00
_cell_angle_gamma 120.00
loop_
_atom_site_label
_atom_site_type_symbol
_atom_site_fract_x
_atom_site_fract_y
_atom_site_fract_z
_atom_site_occupancy
Fe1 Fe 0.3333 0.6667 0.2500 1
W1 W 0.0000 0.0000 0.0000 1
F1 F 0.0349 0.3288 0.1212 1
```

Values from the calculation:
Electronic total energy (eV/f.u.): -44.0
ρ (kg/m³): 5048